Entry 1:
A plane-wave DFT calculation with PBEsol was carried out for a relaxed structure of LiCa2Tl.

Unit cell a=5.385 b=5.385 c=5.385 alpha=60.00 beta=60.00 gamma=60.00
Sites, in units of the cell vectors:
1 Li 0.000 0.000 0.000
2 Ca 0.250 0.250 0.250
3 Ca 0.750 0.750 0.750
4 Tl 0.500 0.500 0.500

Computed properties:
Symmetry = No. 225
E above lowest polymorph = 0 meV per atom
Calculated formation energy = -0.332 eV per atom

Entry 2:
A plane-wave DFT calculation with PBEsol was carried out for a relaxed structure of LiZn2Pd2.

Unit cell a=7.301 b=7.301 c=2.807 alpha=90.00 beta=90.00 gamma=90.00
Sites, in units of the cell vectors:
1 Li 0.000 0.000 0.000
2 Li 0.500 0.500 0.000
3 Zn 0.158 0.342 0.500
4 Zn 0.342 0.842 0.500
5 Zn 0.658 0.158 0.500
6 Zn 0.842 0.658 0.500
7 Pd 0.139 0.639 0.000
8 Pd 0.361 0.139 0.000
9 Pd 0.639 0.861 0.000
10 Pd 0.861 0.361 0.000

Computed properties:
Symmetry = No. 127
Calculated formation energy = -0.472 eV per atom

Entry 3:
A plane-wave DFT calculation with PBEsol was carried out for a relaxed structure of CaScCu4.

Unit cell a=5.081 b=5.081 c=5.081 alpha=60.00 beta=60.00 gamma=60.00
Sites, in units of the cell vectors:
1 Ca 0.000 0.000 0.000
2 Sc 0.750 0.750 0.750
3 Cu 0.375 0.375 0.375
4 Cu 0.375 0.375 0.874
5 Cu 0.375 0.874 0.375
6 Cu 0.874 0.375 0.375

Computed properties:
Symmetry = No. 216
Calculated formation energy = -0.101 eV per atom

Entry 4:
A plane-wave DFT calculation with PBEsol was carried out for a relaxed structure of Nd4Si2Se3O7.

Unit cell a=11.133 b=11.133 c=11.133 alpha=114.50 beta=114.50 gamma=99.82
Sites, in units of the cell vectors:
1 Nd 0.048 0.298 0.095
2 Nd 0.048 0.952 0.750
3 Nd 0.176 0.666 0.510
4 Nd 0.298 0.048 0.595
5 Nd 0.298 0.702 0.250
6 Nd 0.334 0.344 0.510
7 Nd 0.334 0.824 0.990
8 Nd 0.344 0.334 0.010
9 Nd 0.656 0.666 0.990
10 Nd 0.666 0.176 0.010
11 Nd 0.666 0.656 0.490
12 Nd 0.702 0.298 0.750
13 Nd 0.702 0.952 0.405
14 Nd 0.824 0.334 0.490
15 Nd 0.952 0.048 0.250
16 Nd 0.952 0.702 0.905
17 Si 0.093 0.219 0.626
18 Si 0.093 0.468 0.874
19 Si 0.219 0.093 0.126
20 Si 0.468 0.093 0.374
21 Si 0.532 0.907 0.626
22 Si 0.781 0.907 0.874
23 Si 0.907 0.532 0.126
24 Si 0.907 0.781 0.374
25 Se 0.000 0.354 0.354
26 Se 0.000 0.646 0.646
27 Se 0.125 0.875 0.250
28 Se 0.354 0.000 0.854
29 Se 0.354 0.500 0.354
30 Se 0.375 0.625 0.750
31 Se 0.500 0.354 0.854
32 Se 0.500 0.646 0.146
33 Se 0.625 0.375 0.250
34 Se 0.646 0.000 0.146
35 Se 0.646 0.500 0.646
36 Se 0.875 0.125 0.750
37 O 0.079 0.568 0.229
38 O 0.079 0.850 0.511
39 O 0.141 0.391 0.750
40 O 0.150 0.161 0.229
41 O 0.150 0.921 0.989
42 O 0.161 0.150 0.729
43 O 0.161 0.432 0.011
44 O 0.170 0.192 0.522
45 O 0.170 0.647 0.978
46 O 0.192 0.170 0.022
47 O 0.353 0.830 0.522
48 O 0.391 0.141 0.250
49 O 0.432 0.161 0.511
50 O 0.432 0.921 0.271
51 O 0.568 0.079 0.729
52 O 0.568 0.839 0.489
53 O 0.609 0.859 0.750
54 O 0.647 0.170 0.478
55 O 0.808 0.830 0.978
56 O 0.830 0.353 0.022
57 O 0.830 0.808 0.478
58 O 0.839 0.568 0.989
59 O 0.839 0.850 0.271
60 O 0.850 0.079 0.011
61 O 0.850 0.839 0.771
62 O 0.859 0.609 0.250
63 O 0.921 0.150 0.489
64 O 0.921 0.432 0.771

Computed properties:
Symmetry = No. 141
Energy relative to the elements, uncorrected = -2.83 eV/atom

Entry 5:
A plane-wave DFT calculation with PBEsol was carried out for a relaxed structure of Sr4ReSb.

Unit cell a=6.410 b=6.410 c=6.410 alpha=60.00 beta=60.00 gamma=60.00
Sites, in units of the cell vectors:
1 Sr 0.125 0.125 0.125
2 Sr 0.125 0.125 0.626
3 Sr 0.125 0.626 0.125
4 Sr 0.626 0.125 0.125
5 Re 0.750 0.750 0.750
6 Sb 0.500 0.500 0.500

Computed properties:
Symmetry = No. 216
Energy relative to the elements, uncorrected = 1.07 eV/atom

Entry 6:
A plane-wave DFT calculation with PBEsol was carried out for a relaxed structure of KSiAs2Br.

Unit cell a=4.694 b=4.694 c=6.151 alpha=90.00 beta=90.00 gamma=90.00
Sites, in units of the cell vectors:
1 K 0.000 0.000 0.000
2 Si 0.500 0.500 0.500
3 As 0.000 0.500 0.500
4 As 0.500 0.000 0.500
5 Br 0.500 0.500 0.000

Computed properties:
Symmetry = No. 123
Energy relative to the elements, uncorrected = -0.05 eV/atom

Entry 7:
A plane-wave DFT calculation with PBEsol was carried out for a relaxed structure of TiTcSn2Br.

Unit cell a=5.307 b=5.307 c=4.510 alpha=90.00 beta=90.00 gamma=90.00
Sites, in units of the cell vectors:
1 Ti 0.000 0.000 0.000
2 Tc 0.500 0.500 0.000
3 Sn 0.000 0.500 0.500
4 Sn 0.500 0.000 0.500
5 Br 0.000 0.000 0.500

Computed properties:
Symmetry = No. 123
Energy relative to the elements, uncorrected = 1.37 eV/atom

Entry 8:
A plane-wave DFT calculation with PBEsol was carried out for a relaxed structure of BeAs2Rh.

Unit cell a=2.917 b=2.917 c=7.070 alpha=90.00 beta=90.00 gamma=90.00
Sites, in units of the cell vectors:
1 Be 0.000 0.000 0.000
2 As 0.000 0.000 0.394
3 As 0.500 0.500 0.795
4 Rh 0.500 0.500 0.170

Computed properties:
Symmetry = No. 99
Calculated formation energy = -0.164 eV per atom

Entry 9:
A plane-wave DFT calculation with PBEsol was carried out for a relaxed structure of Nb8Tl8O25.

Unit cell a=13.120 b=13.120 c=13.120 alpha=33.41 beta=33.41 gamma=33.41
Sites, in units of the cell vectors:
1 Nb 0.000 0.000 0.000
2 Nb 0.246 0.750 0.750
3 Nb 0.250 0.250 0.747
4 Nb 0.250 0.747 0.250
5 Nb 0.500 0.500 0.500
6 Nb 0.747 0.250 0.250
7 Nb 0.750 0.246 0.750
8 Nb 0.750 0.750 0.246
9 Tl 0.001 0.001 0.499
10 Tl 0.001 0.499 0.001
11 Tl 0.256 0.256 0.256
12 Tl 0.499 0.001 0.001
13 Tl 0.508 0.508 0.987
14 Tl 0.508 0.987 0.508
15 Tl 0.747 0.747 0.747
16 Tl 0.987 0.508 0.508
17 O 0.028 0.028 0.648
18 O 0.028 0.648 0.028
19 O 0.154 0.154 0.775
20 O 0.154 0.775 0.154
21 O 0.157 0.526 0.526
22 O 0.209 0.842 0.842
23 O 0.271 0.654 0.654
24 O 0.339 0.965 0.965
25 O 0.340 0.340 0.716
26 O 0.340 0.716 0.340
27 O 0.466 0.466 0.834
28 O 0.466 0.834 0.466
29 O 0.526 0.157 0.526
30 O 0.526 0.526 0.157
31 O 0.648 0.028 0.028
32 O 0.654 0.271 0.654
33 O 0.654 0.654 0.271
34 O 0.716 0.340 0.340
35 O 0.775 0.154 0.154
36 O 0.815 0.815 0.815
37 O 0.834 0.466 0.466
38 O 0.842 0.209 0.842
39 O 0.842 0.842 0.209
40 O 0.965 0.339 0.965
41 O 0.965 0.965 0.339

Computed properties:
Symmetry = No. 160
Energy relative to the elements, uncorrected = -1.97 eV/atom

Entry 10:
A plane-wave DFT calculation with PBEsol was carried out for a relaxed structure of TlAsPb2.

Unit cell a=6.229 b=6.229 c=5.263 alpha=114.82 beta=114.82 gamma=36.39
Sites, in units of the cell vectors:
1 Tl 0.000 0.000 0.000
2 As 0.500 0.500 0.500
3 Pb 0.211 0.211 0.711
4 Pb 0.789 0.789 0.289

Computed properties:
Symmetry = No. 12
E above lowest polymorph = 29 meV per atom
Calculated formation energy = 0.067 eV per atom

Entry 11:
A plane-wave DFT calculation with PBEsol was carried out for a relaxed structure of K3V3Bi2O12.

Unit cell a=9.774 b=9.774 c=7.122 alpha=106.09 beta=106.09 gamma=89.52
Sites, in units of the cell vectors:
1 K 0.000 0.000 0.000
2 K 0.000 0.000 0.500
3 K 0.227 0.773 0.750
4 K 0.488 0.512 0.750
5 K 0.512 0.488 0.250
6 K 0.773 0.227 0.250
7 V 0.150 0.369 0.364
8 V 0.253 0.747 0.250
9 V 0.369 0.150 0.864
10 V 0.631 0.850 0.136
11 V 0.747 0.253 0.750
12 V 0.850 0.631 0.636
13 Bi 0.118 0.409 0.847
14 Bi 0.409 0.118 0.347
15 Bi 0.591 0.882 0.653
16 Bi 0.882 0.591 0.153
17 O 0.047 0.425 0.154
18 O 0.085 0.208 0.356
19 O 0.103 0.743 0.326
20 O 0.157 0.490 0.597
21 O 0.208 0.085 0.856
22 O 0.257 0.897 0.174
23 O 0.258 0.602 0.047
24 O 0.320 0.353 0.349
25 O 0.353 0.320 0.849
26 O 0.398 0.742 0.453
27 O 0.425 0.047 0.654
28 O 0.490 0.157 0.097
29 O 0.510 0.843 0.903
30 O 0.575 0.953 0.346
31 O 0.602 0.258 0.547
32 O 0.647 0.680 0.151
33 O 0.680 0.647 0.651
34 O 0.742 0.398 0.953
35 O 0.743 0.103 0.826
36 O 0.792 0.915 0.144
37 O 0.843 0.510 0.403
38 O 0.897 0.257 0.674
39 O 0.915 0.792 0.644
40 O 0.953 0.575 0.846

Computed properties:
Symmetry = No. 15
Energy relative to the elements, uncorrected = -2.12 eV/atom

Entry 12:
A plane-wave DFT calculation with PBEsol was carried out for a relaxed structure of Er2GeO5.

Unit cell a=7.900 b=7.900 c=11.120 alpha=93.54 beta=93.54 gamma=89.02
Sites, in units of the cell vectors:
1 Er 0.125 0.845 0.570
2 Er 0.139 0.501 0.752
3 Er 0.155 0.875 0.930
4 Er 0.202 0.495 0.063
5 Er 0.495 0.202 0.563
6 Er 0.499 0.861 0.748
7 Er 0.501 0.139 0.252
8 Er 0.505 0.798 0.437
9 Er 0.798 0.505 0.937
10 Er 0.845 0.125 0.070
11 Er 0.861 0.499 0.248
12 Er 0.875 0.155 0.430
13 Ge 0.140 0.860 0.250
14 Ge 0.229 0.438 0.453
15 Ge 0.438 0.229 0.953
16 Ge 0.562 0.771 0.047
17 Ge 0.771 0.562 0.547
18 Ge 0.860 0.140 0.750
19 O 0.027 0.378 0.393
20 O 0.038 0.937 0.381
21 O 0.043 0.624 0.924
22 O 0.063 0.962 0.119
23 O 0.095 0.643 0.219
24 O 0.237 0.763 0.750
25 O 0.269 0.655 0.455
26 O 0.272 0.370 0.603
27 O 0.312 0.387 0.885
28 O 0.345 0.731 0.045
29 O 0.357 0.905 0.281
30 O 0.370 0.272 0.103
31 O 0.376 0.957 0.576
32 O 0.378 0.027 0.893
33 O 0.387 0.312 0.385
34 O 0.613 0.688 0.615
35 O 0.622 0.973 0.107
36 O 0.624 0.043 0.424
37 O 0.630 0.728 0.897
38 O 0.643 0.095 0.719
39 O 0.655 0.269 0.955
40 O 0.688 0.613 0.115
41 O 0.728 0.630 0.397
42 O 0.731 0.345 0.545
43 O 0.763 0.237 0.250
44 O 0.905 0.357 0.781
45 O 0.937 0.038 0.881
46 O 0.957 0.376 0.076
47 O 0.962 0.063 0.619
48 O 0.973 0.622 0.607

Computed properties:
Symmetry = No. 15
E above lowest polymorph = 8 meV per atom
Energy relative to the elements, uncorrected = -2.99 eV/atom

Entry 13:
A plane-wave DFT calculation with PBEsol was carried out for a relaxed structure of SnB2As.

Unit cell a=6.075 b=6.075 c=6.075 alpha=130.82 beta=130.82 gamma=72.10
Sites, in units of the cell vectors:
1 Sn 0.000 0.000 0.000
2 Sn 0.750 0.250 0.500
3 B 0.160 0.625 0.035
4 B 0.375 0.410 0.535
5 B 0.590 0.125 0.965
6 B 0.875 0.840 0.465
7 As 0.250 0.750 0.500
8 As 0.500 0.500 0.000

Computed properties:
Symmetry = No. 122
Calculated formation energy = 0.393 eV per atom

Entry 14:
A plane-wave DFT calculation with PBEsol was carried out for a relaxed structure of HgIrBr2.

Unit cell a=4.858 b=4.858 c=4.858 alpha=60.00 beta=60.00 gamma=60.00
Sites, in units of the cell vectors:
1 Hg 0.000 0.000 0.000
2 Ir 0.500 0.500 0.500
3 Br 0.250 0.250 0.250
4 Br 0.750 0.750 0.750

Computed properties:
Symmetry = No. 225
Energy relative to the elements, uncorrected = 0.94 eV/atom

Entry 15:
A plane-wave DFT calculation with PBEsol was carried out for a relaxed structure of Sc2MnAu.

Unit cell a=5.278 b=5.278 c=5.278 alpha=135.72 beta=135.72 gamma=64.42
Sites, in units of the cell vectors:
1 Sc 0.000 0.000 0.000
2 Sc 0.750 0.250 0.500
3 Mn 0.250 0.750 0.500
4 Au 0.500 0.500 0.000

Computed properties:
Symmetry = No. 119
Calculated formation energy = -0.218 eV per atom

Entry 16:
A plane-wave DFT calculation with PBEsol was carried out for a relaxed structure of GeSe2NF.

Unit cell a=4.395 b=4.395 c=4.577 alpha=90.00 beta=90.00 gamma=90.00
Sites, in units of the cell vectors:
1 Ge 0.000 0.000 0.000
2 Se 0.000 0.500 0.500
3 Se 0.500 0.000 0.500
4 N 0.500 0.500 0.000
5 F 0.500 0.500 0.500

Computed properties:
Symmetry = No. 123
Energy relative to the elements, uncorrected = 1.06 eV/atom

Entry 17:
A plane-wave DFT calculation with PBEsol was carried out for a relaxed structure of Y4TeCl.

Unit cell a=6.299 b=6.299 c=6.299 alpha=60.00 beta=60.00 gamma=60.00
Sites, in units of the cell vectors:
1 Y 0.376 0.376 0.376
2 Y 0.376 0.376 0.872
3 Y 0.376 0.872 0.376
4 Y 0.872 0.376 0.376
5 Te 0.750 0.750 0.750
6 Cl 0.000 0.000 0.000

Computed properties:
Symmetry = No. 216
Energy relative to the elements, uncorrected = 0.02 eV/atom

Entry 18:
A plane-wave DFT calculation with PBEsol was carried out for a relaxed structure of KMg2In.

Unit cell a=3.317 b=5.002 c=7.178 alpha=90.00 beta=102.13 gamma=90.00
Sites, in units of the cell vectors:
1 K 0.000 0.000 0.000
2 Mg 0.309 0.500 0.696
3 Mg 0.691 0.500 0.304
4 In 0.500 0.000 0.500

Computed properties:
Symmetry = No. 10
Calculated formation energy = 0.073 eV per atom

| no. | spin magnetization (μB/atom) |
| --- | --- |
| 1 | 0.00 |
| 2 | 0.00 |
| 3 | 0.00 |
| 4 | 0.00 |
| 5 | 0.30 |
| 6 | 0.00 |
| 7 | 0.44 |
| 8 | 0.00 |
| 9 | 0.00 |
| 10 | 0.00 |
| 11 | 0.00 |
| 12 | 0.00 |
| 13 | 0.00 |
| 14 | 0.38 |
| 15 | 0.51 |
| 16 | 0.52 |
| 17 | 0.00 |
| 18 | 0.00 |